{"formula": "CaFeCoB2", "functional": "PBE", "state": "optimized geometry", "sg": "I-4m2, No. 119", "magmom_total_mub_per_atom": 0.0759, "formation_enthalpy_0k_mev_per_atom": -311, "dft_energy_ev_per_cell": -32.48, "cell": [[-1.8180, 1.8180, 4.8693], [1.8180, -1.8180, 4.8693], [1.8180, 1.8180, -4.8693]], "species": ["Ca", "Fe", "Co", "B", "B"], "fractional_positions": [[0.0000, 0.0000, 0.0000], [0.7500, 0.2500, 0.5000], [0.2500, 0.7500, 0.5000], [0.3260, 0.3260, 0.0000], [0.6740, 0.6740, 0.0000]]}